DFT (PBE) results for a relaxed structure of CsBaTa.

Properties
DFT formation energy	1.620	eV per atom
total energy	-3.256	eV per atom
V	269.1	Å³ per cell

Cell: 6.4289 6.4289 7.5179 Å, 90.00 90.00 120.00°
Space group P6_3/mmc (No. 194)
Unique sites:
Cs 0.0000 0.0000 0.0000 x2
Ba 0.3333 0.6667 0.2500 x2
Ta 0.3333 0.6667 0.7500 x2

***

DFT (PBE) results for a relaxed structure of CrAg2Br.

Properties
total energy	-4.042	eV per atom
V	205.0	Å³ per cell

Cell: 9.251 3.295 6.838 Å, 90.00 100.38 90.00°
Space group Cm (No. 8)
Unique sites:
Cr 0.000 0.000 0.000 x2
Ag 0.018 0.500 0.671 x2
Ag 0.260 0.000 0.821 x2
Br 0.072 0.500 0.280 x2

***

DFT (PBE) results for a relaxed structure of K3TcPd3Se8.

Properties
total energy	-4.320	eV per atom
V	780.3	Å³ per cell

Cell: 13.500 7.789 8.673 Å, 90.00 121.17 90.00°
Space group C2/m (No. 12)
Unique sites:
K 0.000 0.000 0.000 x2
K 0.250 0.250 0.000 x4
Tc 0.000 0.000 0.500 x2
Pd 0.000 0.500 0.500 x2
Pd 0.250 0.250 0.500 x4
Se 0.025 0.246 0.328 x8
Se 0.221 0.000 0.671 x4
Se 0.223 0.500 0.668 x4

***

DFT (PBE) results for a relaxed structure of CeAs2RuRh2.

Properties
DFT formation energy	-0.139	eV per atom
total energy	-6.674	eV per atom
V	271.9	Å³ per cell

Cell: 3.852 3.852 18.325 Å, 90.00 90.00 90.00°
Space group I4/mmm (No. 139)
Unique sites:
Ce 0.000 0.000 0.000 x2
As 0.000 0.000 0.169 x4
Ru 0.000 0.000 0.500 x2
Rh 0.000 0.500 0.250 x4

***

DOS(E_F), respectively: 9.9 3.7 13.7 7.4 states/eV per cell.